No. 1
Density functional theory data (SCAN) for a crystal of Ta2CrCd relaxed with PBEsol.

## Properties
ΔE_f	0.370	eV per atom
volume	16.61	Å³ per atom
N(E_F)	3.29	states/eV/cell

Lattice parameters (Å, degrees): 4.5465 4.5465 4.5465 60.00 60.00 60.00
Last column: magnetic moment on the atom in μB.
Element x y z (fractional)
Cd (0.5000, 0.5000, 0.5000)  -0.05
Ta (0.0000, 0.0000, 0.0000)  -0.70
Ta (0.7500, 0.7500, 0.7500)  -0.89
Cr (0.2500, 0.2500, 0.2500)  2.70

No. 2
Density functional theory data (SCAN) for a crystal of TaCrCd relaxed with PBEsol.

## Properties
polymorph energy (0 for the lowest one)	0	meV per atom
ΔE_f	0.354	eV per atom
volume	17.08	Å³ per atom
N(E_F)	2.44	states/eV/cell

Lattice parameters (Å, degrees): 2.9020 2.9020 7.0256 90.00 90.00 120.00
Last column: magnetic moment on the atom in μB.
Element x y z (fractional)
Cr (0.3333, 0.6667, 0.6547)  2.96
Ta (0.6667, 0.3333, 0.3550)  -0.14
Cd (0.0000, 0.0000, 0.9903)  -0.03

No. 3
Density functional theory data (SCAN) for a crystal of TaCr4Cd relaxed with PBEsol.

## Properties
ΔE_f	0.239	eV per atom
volume	13.44	Å³ per atom
N(E_F)	8.86	states/eV/cell

Lattice parameters (Å, degrees): 4.8498 4.8498 4.8498 60.00 60.00 60.00
Element x y z (fractional)
Cr (0.3741, 0.3741, 0.8778)
Cr (0.3741, 0.3741, 0.3741)
Cr (0.3741, 0.8778, 0.3741)
Cr (0.8778, 0.3741, 0.3741)
Ta (0.7500, 0.7500, 0.7500)
Cd (0.0000, 0.0000, 0.0000)

No. 4
Density functional theory data (SCAN) for a crystal of CrCd2Tc relaxed with PBEsol.

## Properties
polymorph energy (0 for the lowest one)	0	meV per atom
ΔE_f	0.362	eV per atom
volume	16.18	Å³ per atom
N(E_F)	2.28	states/eV/cell

Lattice parameters (Å, degrees): 3.3484 4.2546 5.2892 113.72 108.45 90.00
Last column: magnetic moment on the atom in μB.
Element x y z (fractional)
Cd (0.7548, 0.7548, 0.5096)  -0.01
Tc (0.0000, 0.5000, 0.0000)  -1.51
Cd (0.2452, 0.2452, 0.4904)  -0.01
Cr (0.5000, 0.0000, 0.0000)  3.27

No. 5
Density functional theory data (SCAN) for a crystal of CrCd2Tc relaxed with PBEsol.

## Properties
polymorph energy (0 for the lowest one)	90	meV per atom
ΔE_f	0.452	eV per atom
volume	16.81	Å³ per atom
N(E_F)	2.97	states/eV/cell

Lattice parameters (Å, degrees): 4.5645 4.5645 4.5645 60.00 60.00 60.00
Last column: magnetic moment on the atom in μB.
Element x y z (fractional)
Cd (0.2500, 0.2500, 0.2500)  -0.01
Cd (0.7500, 0.7500, 0.7500)  -0.01
Cr (0.0000, 0.0000, 0.0000)  3.76
Tc (0.5000, 0.5000, 0.5000)  -2.47

No. 6
Density functional theory data (SCAN) for a crystal of CrCdTc2 relaxed with PBEsol.

## Properties
ΔE_f	0.358	eV per atom
volume	14.54	Å³ per atom
N(E_F)	3.79	states/eV/cell

Lattice parameters (Å, degrees): 2.8819 4.5427 4.9900 110.62 106.78 90.00
Element x y z (fractional)
Cd (0.0000, 0.5000, 0.0000)
Tc (0.7796, 0.7852, 0.5593)
Cr (0.5000, 0.0000, 0.0000)
Tc (0.2204, 0.2148, 0.4407)

No. 7
Density functional theory data (SCAN) for a crystal of CrCd2Tc relaxed with PBEsol.

## Properties
polymorph energy (0 for the lowest one)	59	meV per atom
ΔE_f	0.421	eV per atom
volume	16.38	Å³ per atom
N(E_F)	2.70	states/eV/cell

Lattice parameters (Å, degrees): 2.7703 5.1961 5.3678 115.52 99.10 101.91
Last column: magnetic moment on the atom in μB.
Element x y z (fractional)
Tc (0.0000, 0.5000, 0.0000)  -0.67
Cd (0.5000, 0.5000, 0.5000)  -0.01
Cr (0.5000, 0.0000, 0.0000)  3.46
Cd (0.0000, 0.0000, 0.5000)  -0.01

No. 8
Density functional theory data (SCAN) for a crystal of CrCd2Tc relaxed with PBEsol.

## Properties
polymorph energy (0 for the lowest one)	156	meV per atom
ΔE_f	0.518	eV per atom
volume	16.10	Å³ per atom
N(E_F)	2.49	states/eV/cell

Lattice parameters (Å, degrees): 2.8022 2.8022 9.6047 81.61 81.61 60.00
Last column: magnetic moment on the atom in μB.
Element x y z (fractional)
Tc (0.5000, 0.5000, 0.5000)  0.11
Cr (0.0000, 0.0000, 0.0000)  3.59
Cd (0.7489, 0.7489, 0.7533)  -0.02
Cd (0.2511, 0.2511, 0.2467)  -0.02

No. 9
Density functional theory data (SCAN) for a crystal of Cr2CdTe2 relaxed with PBEsol.

## Properties
volume	22.25	Å³ per atom
N(E_F)	1.74	states/eV/cell
raw formation energy	0.154	eV/atom

Lattice parameters (Å, degrees): 3.5556 3.5556 9.1529 101.20 101.20 90.00
Last column: magnetic moment on the atom in μB.
Element x y z (fractional)
Cr (0.7500, 0.2500, 0.5000)  0.34
Te (0.3574, 0.3574, 0.7147)  -0.04
Te (0.6426, 0.6426, 0.2853)  -0.04
Cd (0.0000, 0.0000, 0.0000)  -0.01
Cr (0.2500, 0.7500, 0.5000)  0.34

No. 10
Density functional theory data (SCAN) for a crystal of CrCd2Te relaxed with PBEsol.

## Properties
volume	22.56	Å³ per atom
N(E_F)	1.08	states/eV/cell
raw formation energy	0.054	eV/atom

Lattice parameters (Å, degrees): 3.3448 4.5203 6.5981 110.03 104.68 90.00
Last column: magnetic moment on the atom in μB.
Element x y z (fractional)
Cd (0.9848, 0.9848, 0.9696)  -0.03
Cr (0.5133, 0.5133, 0.0265)  3.58
Cd (0.8170, 0.3170, 0.6341)  -0.03
Te (0.1849, 0.6849, 0.3698)  -0.17

No. 11
Density functional theory data (SCAN) for a crystal of CrCd2Te relaxed with PBEsol.

## Properties
volume	22.45	Å³ per atom
N(E_F)	1.66	states/eV/cell
raw formation energy	0.043	eV/atom

Lattice parameters (Å, degrees): 3.5681 4.0905 6.7238 107.71 105.39 90.00
Last column: magnetic moment on the atom in μB.
Element x y z (fractional)
Cr (0.5000, 0.0000, 0.0000)  3.85
Cd (0.2019, 0.2019, 0.4038)  -0.02
Cd (0.7981, 0.7981, 0.5962)  -0.02
Te (0.0000, 0.5000, 0.0000)  -0.10

No. 12
Density functional theory data (SCAN) for a crystal of Cr2CdTe relaxed with PBEsol.

## Properties
volume	18.82	Å³ per atom
N(E_F)	1.97	states/eV/cell
raw formation energy	0.216	eV/atom

Lattice parameters (Å, degrees): 3.7389 4.1085 5.6334 111.39 109.38 90.00
Last column: magnetic moment on the atom in μB.
Element x y z (fractional)
Cr (0.0108, 0.0108, 0.0215)  3.78
Cr (0.7653, 0.2653, 0.5306)  3.70
Cd (0.2411, 0.7411, 0.4822)  -0.06
Te (0.4829, 0.4829, 0.9657)  -0.14

No. 13
Density functional theory data (SCAN) for a crystal of CrCd3Te4 relaxed with PBEsol.

## Properties
volume	32.70	Å³ per atom
N(E_F)	3.82	states/eV/cell
raw formation energy	-0.379	eV/atom

Lattice parameters (Å, degrees): 6.3956 6.3956 6.3956 90.00 90.00 90.00
Last column: magnetic moment on the atom in μB.
Element x y z (fractional)
Te (0.2403, 0.7597, 0.7597)  -0.09
Te (0.7597, 0.2403, 0.7597)  -0.09
Cd (0.0000, 0.5000, 0.5000)  0.03
Cd (0.5000, 0.0000, 0.5000)  0.03
Cd (0.5000, 0.5000, 0.0000)  0.03
Te (0.2403, 0.2403, 0.2403)  -0.09
Cr (0.0000, 0.0000, 0.0000)  3.79
Te (0.7597, 0.7597, 0.2403)  -0.09

No. 14
Density functional theory data (SCAN) for a crystal of Ti2CrCd2 relaxed with PBEsol.

## Properties
ΔE_f	0.556	eV per atom
volume	19.45	Å³ per atom
N(E_F)	4.25	states/eV/cell

Lattice parameters (Å, degrees): 3.8008 3.8008 7.2475 105.20 105.20 90.00
Last column: magnetic moment on the atom in μB.
Element x y z (fractional)
Cd (0.7500, 0.2500, 0.5000)  -0.02
Ti (0.4157, 0.4157, 0.8314)  -1.36
Cr (0.0000, 0.0000, 0.0000)  3.57
Cd (0.2500, 0.7500, 0.5000)  -0.02
Ti (0.5843, 0.5843, 0.1686)  -1.36

No. 15
Density functional theory data (SCAN) for a crystal of Tl2CrCd relaxed with PBEsol.

## Properties
polymorph energy (0 for the lowest one)	17	meV per atom
ΔE_f	0.273	eV per atom
volume	22.04	Å³ per atom
N(E_F)	1.97	states/eV/cell

Lattice parameters (Å, degrees): 3.3144 5.1250 5.6034 112.15 90.00 90.00
Last column: magnetic moment on the atom in μB.
Element x y z (fractional)
Cr (0.0000, 0.5000, 0.5000)  3.96
Cd (0.5000, 0.5000, 0.0000)  -0.04
Tl (0.0000, 0.0000, 0.0000)  -0.01
Tl (0.5000, 0.0000, 0.5000)  -0.04

No. 16
Density functional theory data (SCAN) for a crystal of Tl2CrCd relaxed with PBEsol.

## Properties
polymorph energy (0 for the lowest one)	1	meV per atom
ΔE_f	0.256	eV per atom
volume	22.18	Å³ per atom
N(E_F)	1.57	states/eV/cell

Lattice parameters (Å, degrees): 3.4894 3.5744 7.1127 90.00 90.00 90.00
Last column: magnetic moment on the atom in μB.
Element x y z (fractional)
Tl (0.0000, 0.0000, 0.2667)  0.01
Cd (0.5000, 0.5000, 0.0000)  0.01
Tl (0.0000, 0.0000, 0.7333)  0.01
Cr (0.5000, 0.5000, 0.5000)  4.04

No. 17
Density functional theory data (SCAN) for a crystal of TlCrCd2 relaxed with PBEsol.

## Properties
polymorph energy (0 for the lowest one)	0	meV per atom
ΔE_f	0.183	eV per atom
volume	20.12	Å³ per atom
N(E_F)	1.25	states/eV/cell

Lattice parameters (Å, degrees): 4.4022 4.4022 5.1904 115.09 115.09 90.00
Last column: magnetic moment on the atom in μB.
Element x y z (fractional)
Cr (0.0000, 0.0000, 0.0000)  3.94
Tl (0.2500, 0.7500, 0.5000)  -0.03
Cd (0.7500, 0.2500, 0.5000)  -0.04
Cd (0.5000, 0.5000, 0.0000)  -0.04

No. 18
Density functional theory data (SCAN) for a crystal of Tl2CrCd relaxed with PBEsol.

## Properties
polymorph energy (0 for the lowest one)	4	meV per atom
ΔE_f	0.259	eV per atom
volume	22.70	Å³ per atom
N(E_F)	1.71	states/eV/cell

Lattice parameters (Å, degrees): 3.2982 3.2982 9.8255 80.34 80.34 60.00
Last column: magnetic moment on the atom in μB.
Element x y z (fractional)
Cd (0.5091, 0.5091, 0.4727)  -0.02
Tl (0.9905, 0.9905, 0.0286)  0.00
Cr (0.2482, 0.2482, 0.2555)  3.88
Tl (0.7522, 0.7522, 0.7433)  -0.02

No. 19
Density functional theory data (SCAN) for a crystal of Tl2CrCd relaxed with PBEsol.

## Properties
polymorph energy (0 for the lowest one)	0	meV per atom
ΔE_f	0.256	eV per atom
volume	22.59	Å³ per atom
N(E_F)	1.81	states/eV/cell

Lattice parameters (Å, degrees): 3.4568 4.7271 5.7072 90.00 104.36 90.00
Last column: magnetic moment on the atom in μB.
Element x y z (fractional)
Tl (0.0027, 0.0000, 0.9389)  -0.01
Cd (0.3173, 0.0000, 0.4789)  -0.01
Cr (0.4324, 0.5000, 0.7786)  3.99
Tl (0.7476, 0.5000, 0.3036)  -0.02

No. 20
Density functional theory data (SCAN) for a crystal of TlCrCd2 relaxed with PBEsol.

## Properties
polymorph energy (0 for the lowest one)	13	meV per atom
ΔE_f	0.196	eV per atom
volume	20.43	Å³ per atom
N(E_F)	1.25	states/eV/cell

Lattice parameters (Å, degrees): 3.6684 3.5521 6.2707 90.00 90.01 90.00
Last column: magnetic moment on the atom in μB.
Element x y z (fractional)
Cr (0.0004, 0.0000, 0.4938)  3.95
Cd (0.4999, 0.5000, 0.2581)  -0.04
Cd (0.9996, 0.0000, 0.0147)  -0.02
Tl (0.5001, 0.5000, 0.7334)  -0.01